Entry 1:
# TlTe2ICl

A relaxed structure of TlTe2ICl (PBE, Alexandria via LeMat-Bulk).

a b c (Å): 5.9963 5.9963 5.9523
angles (deg): 90.00 90.00 90.00
With the nearest neighbours (Å) after each atom.
Space group P4/mmm (No. 123)
Symmetry-distinct sites (fractional):
Tl1 0.0000 0.0000 0.0000 (multiplicity 1)  2 I 2.98, 4 Te 3.00
Te1 0.0000 0.5000 0.0000 (multiplicity 2)  2 Tl 3.00
I1 0.0000 0.0000 0.5000 (multiplicity 1)  2 Tl 2.98
Cl1 0.5000 0.5000 0.5000 (multiplicity 1)  8 Te 4.22, 4 I 4.24

Summary:
* E_tot: -1.92 eV/atom
* raw formation energy: 0.489 eV per atom
* energy above the lowest structure with this stoichiometry: 0.2619 eV/atom

Entry 2:
# TlSb2Os

A relaxed structure of TlSb2Os (PBE, Alexandria via LeMat-Bulk).

a b c (Å): 9.1340 3.4789 6.9559
angles (deg): 90.00 107.74 90.00
With the nearest neighbours (Å) after each atom.
Space group Cm (No. 8)
Symmetry-distinct sites (fractional):
Tl1 0.0000 0.0000 0.0000 (multiplicity 2)  4 Sb 3.15-3.37, 2 Os 3.23, 2 Tl 3.48
Sb1 0.1530 0.5000 0.6588 (multiplicity 2)  3 Os 2.64-2.66
Sb2 0.2997 0.5000 0.2976 (multiplicity 2)  2 Os 2.64
Os1 0.3531 0.0000 0.5956 (multiplicity 2)  5 Sb 2.64-2.66

Summary:
* E_tot: -5.18 eV/atom
* raw formation energy: 0.279 eV per atom
* energy above the lowest structure with this stoichiometry: 0.0653 eV/atom